No. 1
Cs2PaSe2O2: relaxed, PBE-GGA.

Properties
E in eV/cell: -42.2

Unit cell a=7.6028 b=7.6028 c=6.4994 alpha=115.23 beta=115.23 gamma=37.35
Last column: nearest neighbours and their distance in Å.
Sites, in units of the cell vectors:
Cs  0.2110  0.2110  0.2108  4 O 3.03-3.35
Cs  0.7890  0.7890  0.7892  4 O 3.03-3.35
Pa  0.0000  0.0000  0.5000  2 O 1.92
Se  0.4997  0.4997  0.2274  1 Se 2.96, 2 Pa 3.01
Se  0.5003  0.5003  0.7726  1 Se 2.96, 2 Pa 3.01
O  0.1490  0.1490  0.6478  1 Pa 1.92
O  0.8510  0.8510  0.3522  1 Pa 1.92



No. 2
Cs2PaSeO6: relaxed, PBE-GGA.

Properties
E in eV/cell: -64.2

Unit cell a=5.9783 b=6.0002 c=7.4575 alpha=106.36 beta=111.89 gamma=100.65
Last column: nearest neighbours and their distance in Å.
Sites, in units of the cell vectors:
Cs  0.0000  0.0000  0.0000  5 O 3.02-3.21
Cs  0.4969  0.4991  0.0034  5 O 3.02-3.20
Pa  0.7668  0.2585  0.5275  3 O 1.96-2.00
Se  0.1529  0.8278  0.4827  3 O 1.72-1.75
O  0.0807  0.0551  0.6354  1 Se 1.75
O  0.1158  0.6034  0.5807  1 Se 1.72
O  0.4764  0.9597  0.5786  1 Se 1.72
O  0.4932  0.3857  0.3843  1 Pa 2.00
O  0.6948  0.0487  0.2446  1 Pa 1.96
O  0.9009  0.4283  0.8326  1 Pa 1.97



No. 3
CsPaSeO6: relaxed, PBE-GGA.

Properties
E in eV/cell: -60.4

Unit cell a=5.5228 b=5.5228 c=6.6775 alpha=90.00 beta=90.00 gamma=120.00
Last column: nearest neighbours and their distance in Å.
Sites, in units of the cell vectors:
Cs  0.0000  0.0000  0.0000  6 O 3.12
Pa  0.3333  0.6667  0.5000  6 O 2.21
Se  0.6667  0.3333  0.5000  6 O 1.84
O  0.4068  0.0494  0.6578  1 Se 1.84
O  0.4068  0.3574  0.3422  1 Se 1.84
O  0.6426  0.0494  0.3422  1 Se 1.84
O  0.6426  0.5932  0.6578  1 Se 1.84
O  0.9506  0.3574  0.6578  1 Se 1.84
O  0.9506  0.5932  0.3422  1 Se 1.84



Number 1: total moment 0.0 Bohr magnetons per cell, formation energy without anion corrections -2014 meV/atom. Number 2: total moment 0.9 Bohr magnetons per cell, formation energy without anion corrections -1977 meV/atom. Number 3: total moment 0.0 Bohr magnetons per cell, formation energy without anion corrections -1867 meV/atom.